(1)
# Sr3LiTi

A relaxed Sr3LiTi crystal (PBE, Alexandria).

Properties
Its formation energy is 0.6818 eV/atom. The value obtained for the density of states at the Fermi level is 9.29 states/eV per cell. The calculation puts the energy above the most stable polymorph in this dataset at 0.00 eV per formula unit.

Lattice parameters (Å, degrees): 6.329 6.329 6.329 90.00 90.00 90.00
Space group Pm-3m (No. 221)
Unique sites:
Sr1 0.000 0.000 0.500 (multiplicity 3)
Li1 0.500 0.500 0.500 (multiplicity 1)
Ti1 0.000 0.000 0.000 (multiplicity 1)

=====

(2)
# CaHo2Cd2

A relaxed CaHo2Cd2 crystal (PBE, Alexandria).

Properties
Its formation energy is -0.2502 eV/atom. The value obtained for the density of states at the Fermi level is 15.49 states/eV per cell.

Lattice parameters (Å, degrees): 3.726 27.737 5.408 90.00 90.00 90.00
Space group Cmcm (No. 63)
Unique sites:
Ca1 0.000 0.146 0.250 (multiplicity 4)
Ho1 0.000 0.047 0.750 (multiplicity 4)
Ho2 0.000 0.234 0.750 (multiplicity 4)
Cd1 0.000 0.358 0.250 (multiplicity 4)
Cd2 0.000 0.454 0.750 (multiplicity 4)

=====

What is the formation energy in the first record?
0.6818 eV/atom